! GGA+U CaMg6CrO8, relaxed; values from VASP
&SYSTEM
  ibrav = 0, nat = 16, ntyp = 4
/
ATOMIC_SPECIES
Ca 40.08 Ca.upf
Mg 24.30 Mg.upf
O 16.00 O.upf
Cr 52.00 Cr.upf
ATOMIC_POSITIONS crystal
Ca 0.0000 0.0000 0.0000
Mg 0.5000 0.0000 0.7451
O 0.0000 0.5000 0.0000
Mg 0.5000 0.0000 0.2549
O 0.5000 0.5000 0.2508
O 0.5000 0.5000 0.7492
Mg 0.0000 0.5000 0.2549
Mg 0.5000 0.5000 0.5000
O 0.5000 0.0000 0.0000
Cr 0.5000 0.5000 0.0000
O 0.0000 0.0000 0.7349
O 0.0000 0.5000 0.5000
Mg 0.0000 0.0000 0.5000
O 0.0000 0.0000 0.2651
O 0.5000 0.0000 0.5000
Mg 0.0000 0.5000 0.7451
CELL_PARAMETERS angstrom
4.4317 0.0000 0.0000
0.0000 4.4317 0.0000
0.0000 0.0000 8.5613
! density of states at the Fermi level	0.6	states/eV/cell
! SG	P4/mmm, No. 123
! total magnetic moment	3.99	μB per formula unit
! raw total energy	-98.9	eV/cell